# LiAcTbGa

A relaxed structure of LiAcTbGa (PBE, the Alexandria database).

The calculation puts the formation energy at -226.7 meV/atom. The magnetic moment is 0.0 μB/f.u.

The structure belongs to space group F-43m (No. 216); the cell edges are 7.596, 7.596 and 7.596 Å and the angles 90.00°, 90.00° and 90.00°. The inequivalent atoms are Li at (0.000, 0.000, 0.000), Ac at (0.250, 0.250, 0.250), Tb at (0.250, 0.250, 0.750) and Ga at (0.000, 0.000, 0.500).